# Li5Pb3 (PBE, optimized geometry)
# E above lowest polymorph (eV/atom): 0.1053
# DOS at the Fermi energy (states/eV/atom): 0.5499
# Calculated total energy (eV per atom): -2.77
# Formation enthalpy at 0 K (meV/atom): -186
# Volume (Å³ per atom): 21.98
data_Li5Pb3
_chemical_formula_sum 'Li10 Pb6'
_space_group_name_H-M_alt 'P 1'
_space_group_IT_number 1
_space_group_name_Hall 'P 1'
_cell_length_a 5.7974
_cell_length_b 8.3110
_cell_length_c 8.3110
_cell_angle_alpha 83.01
_cell_angle_beta 69.59
_cell_angle_gamma 69.59
loop_
_atom_site_label
_atom_site_type_symbol
_atom_site_fract_x
_atom_site_fract_y
_atom_site_fract_z
_atom_site_occupancy
Li1 Li 0.5767 0.6903 0.1563 1
Pb1 Pb 0.7500 0.0000 0.0000 1
Li2 Li 0.0767 0.1563 0.6903 1
Li3 Li 0.2500 0.5000 0.5000 1
Li4 Li 0.9233 0.8437 0.3097 1
Pb2 Pb 0.2500 0.0000 0.0000 1
Pb3 Pb 0.1679 0.5000 0.1642 1
Li5 Li 0.4233 0.3097 0.8437 1
Pb4 Pb 0.6679 0.1642 0.5000 1
Li6 Li 0.7330 0.8437 0.6903 1
Li7 Li 0.7500 0.5000 0.5000 1
Li8 Li 0.2670 0.1563 0.3097 1
Pb5 Pb 0.3321 0.8358 0.5000 1
Pb6 Pb 0.8321 0.5000 0.8358 1
Li9 Li 0.7670 0.3097 0.1563 1
Li10 Li 0.2330 0.6903 0.8437 1

# RbPu2RhO8 (PBE, optimized geometry)
# Formation energy (no corrections) (meV/atom): -1893
# DOS at the Fermi energy (states/eV/atom): 0.3189
# Calculated total energy (eV per atom): -8.28
# Volume (Å³ per atom): 16.62
data_RbPu2RhO8
_chemical_formula_sum 'Rb1 Pu2 Rh1 O8'
_space_group_name_H-M_alt 'P 1'
_space_group_IT_number 1
_space_group_name_Hall 'P 1'
_cell_length_a 5.6689
_cell_length_b 5.6689
_cell_length_c 7.1662
_cell_angle_alpha 90.00
_cell_angle_beta 90.00
_cell_angle_gamma 120.00
loop_
_atom_site_label
_atom_site_type_symbol
_atom_site_fract_x
_atom_site_fract_y
_atom_site_fract_z
_atom_site_occupancy
O1 O 0.2853 0.3557 0.3732 1
O2 O 0.6443 0.9296 0.3732 1
O3 O 0.6667 0.3333 0.1524 1
Pu1 Pu 0.3333 0.6667 0.5874 1
Rh1 Rh 0.0000 0.0000 0.5000 1
Pu2 Pu 0.6667 0.3333 0.4126 1
O4 O 0.7147 0.6443 0.6268 1
O5 O 0.0704 0.7147 0.3732 1
Rb1 Rb 0.0000 0.0000 0.0000 1
O6 O 0.3333 0.6667 0.8476 1
O7 O 0.3557 0.0704 0.6268 1
O8 O 0.9296 0.2853 0.6268 1

# BaSn2Os2 (PBE, optimized geometry)
# E above lowest polymorph (eV/atom): 0.0000
# DOS at the Fermi energy (states/eV/atom): 0.5930
# Calculated total energy (eV per atom): -6.33
# Formation enthalpy at 0 K (meV/atom): 149
# Volume (Å³ per atom): 24.40
data_BaSn2Os2
_chemical_formula_sum 'Ba1 Sn2 Os2'
_space_group_name_H-M_alt 'P 1'
_space_group_IT_number 1
_space_group_name_Hall 'P 1'
_cell_length_a 4.6177
_cell_length_b 4.6177
_cell_length_c 6.5867
_cell_angle_alpha 69.48
_cell_angle_beta 69.48
_cell_angle_gamma 90.00
loop_
_atom_site_label
_atom_site_type_symbol
_atom_site_fract_x
_atom_site_fract_y
_atom_site_fract_z
_atom_site_occupancy
Ba1 Ba 0.0000 0.0000 0.0000 1
Sn1 Sn 0.6377 0.6377 0.7245 1
Os1 Os 0.7500 0.2500 0.5000 1
Sn2 Sn 0.3623 0.3623 0.2755 1
Os2 Os 0.2500 0.7500 0.5000 1